1.
The following is a DFT calculation (PBE) of crystalline KY3Mo at its relaxed geometry.

abc: 5.157 5.157 5.157
angles: 90.00 90.00 90.00
Element x y z (fractional)
K  0.000  0.000  0.000
Mo  0.500  0.500  0.500
Y  0.500  0.000  0.000
Y  0.000  0.000  0.500
Y  0.000  0.500  0.000

Energy of formation from the pure elements ... 1869 meV/atom
Density ... 4.9 g cm⁻³
Symmetry ... Pm-3m (221)
E above lowest polymorph ... 1.3818 eV per atom
Crystal system ... cubic
E ... -4.395 eV/atom

=====

2.
The following is a DFT calculation (PBE) of crystalline KY2Mo at its relaxed geometry.

abc: 3.537 3.537 11.164
angles: 71.74 90.00 90.00
Element x y z (fractional)
Y  0.000  0.093  0.909
Y  0.000  0.407  0.591
Mo  0.500  0.750  0.750
K  0.500  0.250  0.250

Energy of formation from the pure elements ... 366 meV/atom
Density ... 3.9 g cm⁻³
Symmetry ... P2/m (10)
E above lowest polymorph ... 0.0000 eV per atom
Crystal system ... monoclinic
E ... -5.848 eV/atom

=====

3.
The following is a DFT calculation (PBE) of crystalline KY2Mo at its relaxed geometry.

abc: 3.983 5.214 5.214
angles: 90.00 90.00 90.00
Element x y z (fractional)
Mo  0.500  0.000  0.500
Y  0.000  0.500  0.500
Y  0.000  0.000  0.000
K  0.500  0.500  0.000

Energy of formation from the pure elements ... 972 meV/atom
Density ... 4.8 g cm⁻³
Symmetry ... P4/mmm (123)
E above lowest polymorph ... 0.6061 eV per atom
Crystal system ... tetragonal
E ... -5.242 eV/atom